A relaxed structure of MgBiAu. Source: the Alexandria database, functional PBE.

Lattice parameters (Å, degrees): 4.266 5.048 7.746 80.57 89.27 65.47
Element x y z (fractional)
Mg: 0.143 0.210 0.110
Mg: 0.857 0.790 0.890
Bi: 0.159 0.193 0.638
Bi: 0.841 0.807 0.362
Au: 0.446 0.607 0.155
Au: 0.554 0.393 0.845

Space group: No. 2
Magnetization: 0.000 μB/f.u.
Energy relative to the elements: -0.26 eV per atom